DFT (PBEsol) results for TlHg2Cl after structural relaxation.

Output
* E above lowest polymorph: 2 kJ/mol of formula units

The structure in CIF format:
```
data_TlHg2Cl
_symmetry_space_group_name_H-M 'I m m m'
_symmetry_Int_Tables_number 71
_symmetry_space_group_name_Hall '-I 2 2'
_cell_length_a 4.168
_cell_length_b 4.437
_cell_length_c 11.316
_cell_angle_alpha 90.00
_cell_angle_beta 90.00
_cell_angle_gamma 90.00
loop_
_atom_site_label
_atom_site_fract_x
_atom_site_fract_y
_atom_site_fract_z
Tl1 0.000 0.000 0.000
Hg1 0.000 0.500 0.252
Cl1 0.000 0.000 0.500
```

---

DFT (PBEsol) results for TlHg5Cl11 after structural relaxation.

Output
* total DFT energy (no corrections): -76.25 eV/cell

The structure in CIF format:
```
data_TlHg5Cl11
_symmetry_space_group_name_H-M 'C 1 2/m 1'
_symmetry_Int_Tables_number 12
_cell_length_a 11.438
_cell_length_b 13.999
_cell_length_c 6.357
_cell_angle_alpha 90.00
_cell_angle_beta 117.21
_cell_angle_gamma 90.00
loop_
_symmetry_equiv_pos_as_xyz
'x,y,z'
'-x,-y,-z'
'-x,y,-z'
'x,-y,z'
'x+1/2,y+1/2,z'
'-x+1/2,-y+1/2,-z'
'-x+1/2,y+1/2,-z'
'x+1/2,-y+1/2,z'
loop_
_atom_site_label
_atom_site_fract_x
_atom_site_fract_y
_atom_site_fract_z
Tl1 0.000 0.000 0.000
Hg1 0.000 0.500 0.000
Hg2 0.186 0.169 0.688
Cl1 0.000 0.000 0.500
Cl2 0.077 0.219 0.293
Cl3 0.153 0.500 0.396
Cl4 0.206 0.377 0.917
```

---

DFT (PBEsol) results for TlHgCl4 after structural relaxation.

Output
* total DFT energy (no corrections): -42.30 eV/cell

The structure in CIF format:
```
data_TlHgCl4
_symmetry_space_group_name_H-M 'F -4 3 m'
_symmetry_Int_Tables_number 216
_symmetry_space_group_name_Hall 'F -4 2 3'
_cell_length_a 8.353
_cell_length_b 8.353
_cell_length_c 8.353
_cell_angle_alpha 90.00
_cell_angle_beta 90.00
_cell_angle_gamma 90.00
loop_
_atom_site_label
_atom_site_fract_x
_atom_site_fract_y
_atom_site_fract_z
Tl1 0.000 0.000 0.000
Hg1 0.250 0.250 0.750
Cl1 0.124 0.124 0.376
```

---

DFT (PBEsol) results for TlHg2Cl after structural relaxation.

Output
* E above lowest polymorph: 10 kJ/mol of formula units

The structure in CIF format:
```
data_TlHg2Cl
_symmetry_space_group_name_H-M 'P 4 m m'
_symmetry_Int_Tables_number 99
_cell_length_a 3.874
_cell_length_b 3.874
_cell_length_c 7.172
_cell_angle_alpha 90.00
_cell_angle_beta 90.00
_cell_angle_gamma 90.00
loop_
_symmetry_equiv_pos_as_xyz
'x,y,z'
'-y,x,z'
'-x,-y,z'
'y,-x,z'
'-x,y,z'
'y,x,z'
'x,-y,z'
'-y,-x,z'
loop_
_atom_site_label
_atom_site_fract_x
_atom_site_fract_y
_atom_site_fract_z
Tl1 0.000 0.000 0.000
Hg1 0.000 0.000 0.479
Hg2 0.500 0.500 0.684
Cl1 0.500 0.500 0.188
```

---

DFT (PBEsol) results for HgW2Cl after structural relaxation.

Output
* E above lowest polymorph: 228 kJ/mol of formula units

The structure in CIF format:
```
data_HgW2Cl
_symmetry_space_group_name_H-M 'C 1 2/m 1'
_symmetry_Int_Tables_number 12
_cell_length_a 5.409
_cell_length_b 10.124
_cell_length_c 2.929
_cell_angle_alpha 90.00
_cell_angle_beta 117.99
_cell_angle_gamma 90.00
loop_
_symmetry_equiv_pos_as_xyz
'x,y,z'
'-x,-y,-z'
'-x,y,-z'
'x,-y,z'
'x+1/2,y+1/2,z'
'-x+1/2,-y+1/2,-z'
'-x+1/2,y+1/2,-z'
'x+1/2,-y+1/2,z'
loop_
_atom_site_label
_atom_site_fract_x
_atom_site_fract_y
_atom_site_fract_z
Hg1 0.000 0.000 0.000
W1 0.250 0.250 0.000
Cl1 0.000 0.500 0.000
```

---

DFT (PBEsol) results for HgWCl2 after structural relaxation.

Output
* E above lowest polymorph: 40 kJ/mol of formula units

The structure in CIF format:
```
data_HgWCl2
_symmetry_space_group_name_H-M 'I m m 2'
_symmetry_Int_Tables_number 44
_cell_length_a 2.913
_cell_length_b 4.341
_cell_length_c 13.486
_cell_angle_alpha 90.00
_cell_angle_beta 90.00
_cell_angle_gamma 90.00
loop_
_symmetry_equiv_pos_as_xyz
'x,y,z'
'-x,-y,z'
'-x,y,z'
'x,-y,z'
'x+1/2,y+1/2,z+1/2'
'-x+1/2,-y+1/2,z+1/2'
'-x+1/2,y+1/2,z+1/2'
'x+1/2,-y+1/2,z+1/2'
loop_
_atom_site_label
_atom_site_fract_x
_atom_site_fract_y
_atom_site_fract_z
Hg1 0.000 0.000 0.000
W1 0.000 0.500 0.687
Cl1 0.000 0.000 0.328
Cl2 0.000 0.500 0.166
```

---

Taking the records one at a time from the top gives total magnetization values of 0.0; 0.0; 7.0; 0.0; 0.0; 0.0 Bohr magnetons per cell.